PBE-GGA EuAlZnHg, optimized geometry; M_tot = 6.84 μB/f.u.; total energy = -4.148 eV/atom; energy of formation from the pure elements = -0.25 eV/atom
1.0
5.001 0.000 0.000
2.501 4.331 0.000
2.501 1.444 4.084
Eu Zn Hg Al
1 1 1 1
Direct
0.250 0.250 0.250
0.000 0.000 0.000
0.500 0.500 0.500
0.750 0.750 0.750

PBE-GGA Tb2Nd3Er6Pu, optimized geometry; M_tot = 6.49 μB/f.u.; total energy = -5.398 eV/atom; energy of formation from the pure elements = 0.04 eV/atom
1.0
6.158 -0.001 -0.012
-3.079 5.333 -0.012
-1.004 -1.739 11.492
Tb Nd Er Pu
2 3 6 1
Direct
0.333 0.667 0.000
0.667 0.333 0.000
0.167 0.833 0.500
0.833 0.167 0.500
0.500 0.500 0.500
0.918 0.589 0.755
0.753 0.753 0.245
0.082 0.411 0.245
0.589 0.918 0.755
0.247 0.247 0.755
0.411 0.082 0.245
0.000 0.000 0.000

PBE-GGA BaScS2N, optimized geometry; M_tot = 1.98 μB/f.u.; uncorrected formation energy = -5.63 eV/f.u.; excess energy over the best structure of this formula in the dataset = 0 meV per atom; total energy = -6.093 eV/atom
1.0
-0.077 5.111 0.290
-4.627 -0.193 2.182
1.848 -0.194 3.902
Sc S Ba N
1 2 1 1
Direct
0.000 0.000 0.000
0.000 0.500 0.000
0.500 0.000 0.000
0.500 0.500 0.500
0.000 0.000 0.500

PBE-GGA LiTi4Bi2, optimized geometry; M_tot = 0.69 μB/f.u.; total energy = -5.567 eV/atom; energy of formation from the pure elements = 0.33 eV/atom
1.0
-3.268 -0.252 2.906
-1.602 -3.492 -2.104
1.651 -6.285 4.613
Li Bi Ti
1 2 4
Direct
0.000 0.000 0.000
0.642 0.642 0.717
0.358 0.358 0.283
0.838 0.838 0.324
0.162 0.162 0.676
0.000 0.500 0.000
0.500 0.000 0.000

PBE-GGA BaNaLi2Rh, optimized geometry; M_tot = 0.00 μB/f.u.; total energy = -2.749 eV/atom; energy of formation from the pure elements = 0.14 eV/atom
1.0
-3.391 2.255 -3.295
-3.188 -4.133 0.452
-2.574 2.459 4.331
Na Rh Ba Li
1 1 1 2
Direct
0.500 0.500 0.500
0.000 0.000 0.000
0.000 0.000 0.500
0.000 0.500 0.000
0.500 0.000 0.000

PBE-GGA Ca2LaMn, optimized geometry; M_tot = 3.08 μB/f.u.; excess energy over the best structure of this formula in the dataset = 90 meV per atom; total energy = -4.242 eV/atom; energy of formation from the pure elements = 0.28 eV/atom
1.0
6.983 -0.661 0.087
4.325 5.522 -0.087
-5.178 -3.538 3.143
Ca Mn La
2 1 1
Direct
0.045 0.045 0.000
0.455 0.455 0.000
0.250 0.750 0.500
0.750 0.250 0.500

PBE-GGA Nb2SiGeC, optimized geometry; M_tot = 0.00 μB/f.u.; uncorrected formation energy = 10.99 eV/f.u.; total energy = -5.683 eV/atom
1.0
4.827 0.000 0.000
0.000 4.292 0.000
0.000 0.000 4.827
C Nb Si Ge
1 2 1 1
Direct
0.500 0.500 0.500
0.000 0.000 0.500
0.500 0.000 0.000
0.000 0.500 0.000
0.000 0.000 0.000

PBE-GGA HoNi6Sn6, optimized geometry; M_tot = 0.00 μB/f.u.; total energy = -5.176 eV/atom; energy of formation from the pure elements = -0.31 eV/atom
1.0
-5.290 -0.436 -1.248
-3.307 -4.792 3.777
-4.093 3.812 4.108
Ho Ni Sn
1 6 6
Direct
0.000 0.000 0.000
0.000 0.500 0.000
0.500 0.500 0.000
0.000 0.000 0.500
0.500 0.000 0.500
0.500 0.750 0.250
0.500 0.250 0.750
0.335 0.665 0.665
0.665 0.335 0.335
0.000 0.336 0.664
0.000 0.664 0.336
0.332 0.168 0.168
0.668 0.832 0.832

PBE-GGA Li4Mg2Al3, optimized geometry; M_tot = 0.00 μB/f.u.; excess energy over the best structure of this formula in the dataset = 0 meV per atom; total energy = -2.535 eV/atom; energy of formation from the pure elements = -0.08 eV/atom
1.0
4.413 0.000 0.000
0.000 6.110 0.374
-2.206 -2.590 5.809
Li Mg Al
4 2 3
Direct
0.549 0.345 0.097
0.769 0.653 0.538
0.451 0.655 0.903
0.231 0.347 0.462
0.340 0.991 0.680
0.660 0.009 0.320
0.894 0.338 0.789
0.106 0.662 0.211
0.000 0.000 0.000

PBE-GGA BiBP2Cl, optimized geometry; M_tot = 1.60 μB/f.u.; uncorrected formation energy = 8.47 eV/f.u.; excess energy over the best structure of this formula in the dataset = 1056 meV per atom; total energy = -2.950 eV/atom
1.0
5.369 0.000 0.000
0.000 5.369 0.000
0.000 0.000 5.425
P B Bi Cl
2 1 1 1
Direct
0.000 0.500 0.000
0.500 0.000 0.000
0.500 0.500 0.500
0.000 0.000 0.000
0.000 0.000 0.500

PBE-GGA CuSi2B, optimized geometry; M_tot = 0.00 μB/f.u.; uncorrected formation energy = 1.58 eV/f.u.; total energy = -5.009 eV/atom
1.0
5.353 0.000 0.000
0.000 5.353 0.000
2.677 2.677 4.195
Si B Cu
4 2 2
Direct
0.566 0.125 0.250
0.184 0.625 0.250
0.375 0.434 0.750
0.875 0.816 0.750
0.500 0.500 0.000
0.250 0.750 0.500
0.000 0.000 0.000
0.750 0.250 0.500

PBE-GGA CaLaIr2, optimized geometry; M_tot = 0.00 μB/f.u.; excess energy over the best structure of this formula in the dataset = 286 meV per atom; total energy = -6.256 eV/atom; energy of formation from the pure elements = -0.09 eV/atom
1.0
3.175 0.000 0.000
0.000 4.927 0.000
0.000 0.000 5.766
Ca Ir La
1 2 1
Direct
0.500 0.500 0.830
0.000 0.000 0.924
0.500 0.500 0.325
0.000 0.000 0.420

PBE-GGA ZrSc2Ta, optimized geometry; M_tot = 0.00 μB/f.u.; total energy = -8.113 eV/atom; energy of formation from the pure elements = 0.15 eV/atom
1.0
-3.706 2.308 -5.334
-2.216 -3.591 3.553
-2.232 2.018 0.651
Sc Ta Zr
2 1 1
Direct
0.000 0.000 0.000
0.500 0.000 0.500
0.000 0.500 0.500
0.500 0.500 0.000

PBE-GGA NdHgRhAu, optimized geometry; M_tot = 0.00 μB/f.u.; total energy = -4.330 eV/atom; energy of formation from the pure elements = -0.41 eV/atom
1.0
-0.791 -1.956 -4.457
-1.890 -4.536 -0.402
-4.609 -0.614 -1.640
Nd Au Hg Rh
1 1 1 1
Direct
0.750 0.750 0.750
0.000 0.000 0.000
0.250 0.250 0.250
0.500 0.500 0.500

PBE-GGA BaMgI2O, optimized geometry; M_tot = 0.00 μB/f.u.; uncorrected formation energy = -7.39 eV/f.u.; excess energy over the best structure of this formula in the dataset = 0 meV per atom; total energy = -3.794 eV/atom
1.0
-1.168 4.030 4.341
-5.657 0.554 -2.036
-1.150 -2.921 2.402
I Mg Ba O
2 1 1 1
Direct
0.000 0.500 0.000
0.500 0.000 0.000
0.000 0.000 0.000
0.500 0.500 0.500
0.000 0.000 0.500

PBE-GGA LaSm12Sc3, optimized geometry; M_tot = 0.00 μB/f.u.; total energy = -4.995 eV/atom; energy of formation from the pure elements = 0.04 eV/atom
1.0
5.041 0.000 0.000
0.000 5.041 0.000
0.000 0.000 20.167
La Sm Sc
1 12 3
Direct
0.000 0.000 0.000
0.500 0.500 0.000
0.500 0.500 0.256
0.500 0.500 0.500
0.500 0.500 0.744
0.500 0.000 0.132
0.500 0.000 0.377
0.500 0.000 0.623
0.500 0.000 0.868
0.000 0.500 0.132
0.000 0.500 0.377
0.000 0.500 0.623
0.000 0.500 0.868
0.000 0.000 0.254
0.000 0.000 0.500
0.000 0.000 0.746

PBE-GGA Tl4CuTe3, optimized geometry; M_tot = 0.00 μB/f.u.; uncorrected formation energy = -1.69 eV/f.u.; excess energy over the best structure of this formula in the dataset = 0 meV per atom; total energy = -3.085 eV/atom
1.0
-4.883 -1.734 -3.521
0.293 -9.425 -1.337
-7.369 -2.074 5.666
Tl Te Cu
8 6 2
Direct
0.410 0.315 0.865
0.590 0.685 0.135
0.725 0.865 0.685
0.090 0.135 0.685
0.275 0.135 0.315
0.910 0.865 0.315
0.775 0.315 0.135
0.225 0.685 0.865
0.750 0.000 0.000
0.250 0.000 0.000
0.376 0.747 0.500
0.624 0.253 0.500
0.124 0.500 0.253
0.876 0.500 0.747
0.750 0.500 0.500
0.250 0.500 0.500

PBE-GGA Pr2TlRhO6, optimized geometry; M_tot = 0.00 μB/f.u.; uncorrected formation energy = -19.90 eV/f.u.; total energy = -6.893 eV/atom
1.0
-4.674 0.782 -3.088
2.976 -1.817 -4.964
-2.113 -7.731 1.563
Pr Tl Rh O
4 2 2 12
Direct
0.026 0.927 0.250
0.526 0.573 0.750
0.974 0.073 0.750
0.474 0.427 0.250
0.500 0.000 0.000
0.000 0.500 0.500
0.500 0.000 0.500
0.000 0.500 0.000
0.300 0.684 0.061
0.800 0.816 0.561
0.700 0.316 0.939
0.200 0.184 0.439
0.328 0.708 0.431
0.828 0.792 0.931
0.672 0.292 0.569
0.172 0.208 0.069
0.871 0.552 0.234
0.371 0.948 0.734
0.129 0.448 0.766
0.629 0.052 0.266

PBE-GGA Zr4Ru, optimized geometry; M_tot = 0.00 μB/f.u.; excess energy over the best structure of this formula in the dataset = 0 meV per atom; total energy = -8.948 eV/atom; energy of formation from the pure elements = -0.25 eV/atom
1.0
-0.513 -3.266 0.140
-0.118 -1.896 -5.531
5.796 0.771 0.107
Ru Zr
1 4
Direct
0.000 0.000 0.000
0.778 0.808 0.363
0.222 0.192 0.637
0.586 0.637 0.808
0.414 0.363 0.192

PBE-GGA Ta3NiH, optimized geometry; M_tot = 0.00 μB/f.u.; excess energy over the best structure of this formula in the dataset = 111 meV per atom; total energy = -8.905 eV/atom
1.0
4.096 0.000 0.000
0.000 4.096 0.000
0.000 0.000 4.096
Ni H Ta
1 1 3
Direct
0.500 0.500 0.500
0.000 0.000 0.000
0.000 0.500 0.000
0.000 0.000 0.500
0.500 0.000 0.000

PBE-GGA TaBi2Au, optimized geometry; M_tot = 0.00 μB/f.u.; total energy = -5.109 eV/atom; energy of formation from the pure elements = 0.61 eV/atom
1.0
0.000 3.618 3.618
3.618 0.000 3.618
3.618 3.618 0.000
Au Bi Ta
1 2 1
Direct
0.500 0.500 0.500
0.250 0.250 0.250
0.750 0.750 0.750
0.000 0.000 0.000

PBE-GGA ScInCl2, optimized geometry; M_tot = 1.88 μB/f.u.; uncorrected formation energy = -1.54 eV/f.u.; excess energy over the best structure of this formula in the dataset = 885 meV per atom; total energy = -3.576 eV/atom
1.0
5.145 0.000 0.000
2.573 4.456 0.000
2.573 1.485 4.201
Sc Cl In
1 2 1
Direct
0.750 0.750 0.750
0.000 0.000 0.000
0.250 0.250 0.250
0.500 0.500 0.500

PBE-GGA Y6Tl2Pt, optimized geometry; M_tot = 0.00 μB/f.u.; excess energy over the best structure of this formula in the dataset = 100 meV per atom; total energy = -5.913 eV/atom; energy of formation from the pure elements = -0.41 eV/atom
1.0
6.234 0.000 0.382
0.000 8.536 0.000
-0.263 0.000 9.944
Y Tl Pt
12 4 2
Direct
0.888 0.971 0.235
0.878 0.679 0.555
0.884 0.678 0.946
0.616 0.178 0.554
0.622 0.179 0.945
0.612 0.471 0.265
0.112 0.029 0.765
0.122 0.321 0.445
0.116 0.322 0.054
0.384 0.822 0.446
0.378 0.821 0.055
0.388 0.529 0.735
0.923 0.378 0.749
0.577 0.878 0.751
0.423 0.122 0.249
0.077 0.622 0.251
0.500 0.500 0.000
0.000 0.000 0.500

PBE-GGA NaF, optimized geometry; M_tot = 0.08 μB/f.u.; uncorrected formation energy = -5.22 eV/f.u.; excess energy over the best structure of this formula in the dataset = 118 meV per atom; total energy = -4.206 eV/atom
1.0
-6.380 0.202 2.890
-2.401 -4.283 -4.999
1.622 -5.542 3.969
Na F
8 8
Direct
0.340 0.340 0.340
0.340 0.660 0.660
0.660 0.340 0.660
0.660 0.660 0.340
0.840 0.840 0.840
0.840 0.160 0.160
0.160 0.840 0.160
0.160 0.160 0.840
0.162 0.162 0.162
0.162 0.838 0.838
0.838 0.162 0.838
0.838 0.838 0.162
0.662 0.662 0.662
0.662 0.338 0.338
0.338 0.662 0.338
0.338 0.338 0.662